The following is a PBE calculation of a geometry-optimized Nd12P3N5 structure, from Alexandria via LeMat-Bulk.

a b c (Å): 13.5902 13.5902 13.5902
angles (deg): 109.47 109.47 109.47
Last column: nearest neighbours and their distance in Å.
Fractional coordinates of all 80 atoms:
P: 0.6250 0.3750 0.7500  8 Nd 3.04-3.12
P: 0.3750 0.6250 0.2500  8 Nd 3.04-3.12
P: 0.8750 0.7500 0.1250  8 Nd 3.04-3.12
P: 0.2500 0.1250 0.3750  8 Nd 3.04-3.12
P: 0.7500 0.8750 0.6250  8 Nd 3.04-3.12
P: 0.6250 0.2500 0.3750  8 Nd 3.04-3.12
P: 0.2500 0.6250 0.8750  8 Nd 3.04-3.12
P: 0.8750 0.1250 0.2500  8 Nd 3.04-3.12
P: 0.1250 0.8750 0.7500  8 Nd 3.04-3.12
P: 0.1250 0.2500 0.8750  8 Nd 3.04-3.12
P: 0.3750 0.7500 0.6250  8 Nd 3.04-3.12
P: 0.7500 0.3750 0.1250  8 Nd 3.04-3.12
N: 0.6250 0.7500 0.8750  4 Nd 2.31
N: 0.7500 0.6250 0.3750  4 Nd 2.31
N: 0.0000 0.5000 0.5000  6 Nd 2.57
N: 0.0000 0.5000 0.0000  6 Nd 2.57
N: 0.2500 0.8750 0.1250  4 Nd 2.31
N: 0.7500 0.1250 0.8750  4 Nd 2.31
N: 0.8750 0.2500 0.6250  4 Nd 2.31
N: 0.8750 0.6250 0.7500  4 Nd 2.31
N: 0.5000 0.5000 0.5000  6 Nd 2.57
N: 0.0000 0.0000 0.5000  6 Nd 2.57
N: 0.5000 0.0000 0.0000  6 Nd 2.57
N: 0.1250 0.3750 0.2500  4 Nd 2.31
N: 0.3750 0.2500 0.1250  4 Nd 2.31
N: 0.6250 0.8750 0.2500  4 Nd 2.31
N: 0.5000 0.5000 0.0000  6 Nd 2.57
N: 0.0000 0.0000 0.0000  6 Nd 2.57
N: 0.3750 0.1250 0.7500  4 Nd 2.31
N: 0.2500 0.3750 0.6250  4 Nd 2.31
N: 0.5000 0.0000 0.5000  6 Nd 2.57
N: 0.1250 0.7500 0.3750  4 Nd 2.31
Nd: 0.4051 0.3812 0.5872  2 N 2.31-2.57
Nd: 0.6188 0.5949 0.9128  2 N 2.31-2.57
Nd: 0.2060 0.5240 0.6188  2 N 2.31-2.57
Nd: 0.9760 0.3812 0.2940  2 N 2.31-2.57
Nd: 0.0949 0.1820 0.4760  2 N 2.31-2.57
Nd: 0.2940 0.8812 0.9760  2 N 2.31-2.57
Nd: 0.9128 0.8180 0.7940  2 N 2.31-2.57
Nd: 0.9051 0.8180 0.5240  2 N 2.31-2.57
Nd: 0.4051 0.0240 0.3180  2 N 2.31-2.57
Nd: 0.9760 0.5949 0.1820  2 N 2.31-2.57
Nd: 0.5949 0.9760 0.6820  2 N 2.31-2.57
Nd: 0.5240 0.3180 0.9051  2 N 2.31-2.57
Nd: 0.7940 0.4760 0.3812  2 N 2.31-2.57
Nd: 0.1820 0.0872 0.7060  2 N 2.31-2.57
Nd: 0.3812 0.4051 0.0872  2 N 2.31-2.57
Nd: 0.5949 0.6188 0.4128  2 N 2.31-2.57
Nd: 0.4760 0.6820 0.0949  2 N 2.31-2.57
Nd: 0.1188 0.7060 0.5240  2 N 2.31-2.57
Nd: 0.4128 0.2940 0.3180  2 N 2.31-2.57
Nd: 0.7060 0.5872 0.1820  2 N 2.31-2.57
Nd: 0.2060 0.6820 0.0872  2 N 2.31-2.57
Nd: 0.3180 0.5240 0.4051  2 N 2.31-2.57
Nd: 0.5240 0.2060 0.1188  2 N 2.31-2.57
Nd: 0.9128 0.0949 0.6188  2 N 2.31-2.57
Nd: 0.8812 0.2940 0.4760  2 N 2.31-2.57
Nd: 0.8812 0.5872 0.9051  2 N 2.31-2.57
Nd: 0.8180 0.9051 0.0240  2 N 2.31-2.57
Nd: 0.0949 0.9128 0.1188  2 N 2.31-2.57
Nd: 0.0872 0.1820 0.2060  2 N 2.31-2.57
Nd: 0.6820 0.4760 0.5949  2 N 2.31-2.57
Nd: 0.6820 0.2060 0.5872  2 N 2.31-2.57
Nd: 0.2940 0.4128 0.8180  2 N 2.31-2.57
Nd: 0.6188 0.0240 0.2060  2 N 2.31-2.57
Nd: 0.3180 0.7940 0.4128  2 N 2.31-2.57
Nd: 0.0240 0.6188 0.7060  2 N 2.31-2.57
Nd: 0.0872 0.9051 0.3812  2 N 2.31-2.57
Nd: 0.1188 0.4128 0.0949  2 N 2.31-2.57
Nd: 0.3812 0.9760 0.7940  2 N 2.31-2.57
Nd: 0.5872 0.7060 0.6820  2 N 2.31-2.57
Nd: 0.4760 0.7940 0.8812  2 N 2.31-2.57
Nd: 0.8180 0.9128 0.2940  2 N 2.31-2.57
Nd: 0.7940 0.3180 0.9128  2 N 2.31-2.57
Nd: 0.0240 0.4051 0.8180  2 N 2.31-2.57
Nd: 0.7060 0.1188 0.0240  2 N 2.31-2.57
Nd: 0.4128 0.1188 0.5949  2 N 2.31-2.57
Nd: 0.9051 0.0872 0.8812  2 N 2.31-2.57
Nd: 0.1820 0.0949 0.9760  2 N 2.31-2.57
Nd: 0.5872 0.8812 0.4051  2 N 2.31-2.57

Computed properties:
- Formation energy (no corrections): -0.9929 eV/atom
- Total energy: -6.7464 eV per atom
- Total magnetic moment: 0.0 μB per formula unit